(1)
Density functional theory data (PBE) for a geometry-optimized Mo3P structure.

Summary:
* space group: No. 139
* N(E_F): 0.798 states/eV per atom
* excess energy over the best structure of this formula in the dataset: 1.74 eV/f.u.
* electronic total energy: -9.403 eV per atom

a b c (Å): 3.639 3.639 18.013
angles (deg): 90.00 90.00 90.00
Sites, in units of the cell vectors:
1 Mo 0.000 0.000 0.127
2 Mo 0.000 0.000 0.873
3 Mo 0.000 0.500 0.000
4 Mo 0.000 0.500 0.250
5 Mo 0.000 0.500 0.500
6 Mo 0.000 0.500 0.750
7 Mo 0.500 0.000 0.000
8 Mo 0.500 0.000 0.250
9 Mo 0.500 0.000 0.500
10 Mo 0.500 0.000 0.750
11 Mo 0.500 0.500 0.373
12 Mo 0.500 0.500 0.627
13 P 0.000 0.000 0.379
14 P 0.000 0.000 0.621
15 P 0.500 0.500 0.121
16 P 0.500 0.500 0.879

=====

(2)
Density functional theory data (PBE) for a geometry-optimized TbCdGa2Au5 structure.

Summary:
* space group: No. 123
* N(E_F): 0.618 states/eV per atom
* electronic total energy: -3.497 eV per atom

a b c (Å): 4.419 4.419 8.999
angles (deg): 90.00 90.00 90.00
Sites, in units of the cell vectors:
1 Tb 0.000 0.000 0.000
2 Cd 0.000 0.000 0.500
3 Ga 0.500 0.500 0.134
4 Ga 0.500 0.500 0.866
5 Au 0.000 0.500 0.278
6 Au 0.000 0.500 0.722
7 Au 0.500 0.000 0.278
8 Au 0.500 0.000 0.722
9 Au 0.500 0.500 0.500

=====

(3)
Density functional theory data (PBE) for a geometry-optimized CoC4 structure.

Summary:
* space group: No. 139
* N(E_F): 0.469 states/eV per atom
* excess energy over the best structure of this formula in the dataset: 7.80 eV/f.u.
* electronic total energy: -6.555 eV per atom

a b c (Å): 3.456 3.456 5.576
angles (deg): 90.00 90.00 90.00
Sites, in units of the cell vectors:
1 Co 0.000 0.000 0.000
2 Co 0.500 0.500 0.500
3 C 0.000 0.000 0.361
4 C 0.000 0.000 0.639
5 C 0.000 0.500 0.250
6 C 0.000 0.500 0.750
7 C 0.500 0.000 0.250
8 C 0.500 0.000 0.750
9 C 0.500 0.500 0.139
10 C 0.500 0.500 0.861